Record 1
The following is a GGA-PBE calculation of a relaxed structure of Dy4NiSn, from the Alexandria database.

Summary:
The calculation puts the density of states at the Fermi level at 0.87 states/eV per atom. The calculation puts the electronic total energy at -0.1823 Ha/atom. Its magnetization is 0.000 μB/atom. For the energy relative to the elements, the calculation gives -6.021 kcal/mol of atoms.

a = 6.8273 Å, b = 7.1134 Å, c = 7.2567 Å
α = 90.00°, β = 93.92°, γ = 90.00°
With the nearest neighbours (Å) after each atom.
Positions (direct):
Dy: 0.8896 0.6433 0.1870  1 Ni 2.56
Dy: 0.8150 0.1697 0.3576  2 Ni 2.73-2.83
Dy: 0.1850 0.8303 0.6424  2 Ni 2.73-2.83
Dy: 0.6104 0.1433 0.8130  1 Ni 2.56
Dy: 0.3150 0.3303 0.3576  2 Ni 2.73-2.83
Dy: 0.3896 0.8567 0.1870  1 Ni 2.56
Sn: 0.0000 0.0000 0.0000  6 Dy 3.00-3.20
Dy: 0.6850 0.6697 0.6424  2 Ni 2.73-2.83
Sn: 0.5000 0.5000 0.0000  6 Dy 3.00-3.20
Ni: 0.0000 0.5000 0.5000  6 Dy 2.56-2.83
Dy: 0.1104 0.3567 0.8130  1 Ni 2.56
Ni: 0.5000 0.0000 0.5000  6 Dy 2.56-2.83

Record 2
The following is a GGA-PBE calculation of a relaxed structure of DyNi6Sn2, from the Alexandria database.

Summary:
The calculation puts the density of states at the Fermi level at 1.03 states/eV per atom. The calculation puts the electronic total energy at -0.1965 Ha/atom. Its magnetization is 0.000 μB/atom. For the energy relative to the elements, the calculation gives -2.117 kcal/mol of atoms.

a = 3.5583 Å, b = 7.2609 Å, c = 7.2609 Å
α = 52.10°, β = 75.82°, γ = 75.82°
With the nearest neighbours (Å) after each atom.
Positions (direct):
Ni: 0.0000 0.1795 0.8205  3 Ni 2.29-2.41
Dy: 0.5000 0.5000 0.5000  4 Ni 2.71
Sn: 0.3624 0.1376 0.1376  10 Ni 2.59-2.73
Sn: 0.6376 0.8624 0.8624  10 Ni 2.59-2.73
Ni: 0.8191 0.4867 0.8751  4 Ni 2.41-2.58, 3 Sn 2.59-2.70
Ni: 0.8191 0.8751 0.4867  4 Ni 2.41-2.58, 3 Sn 2.59-2.70
Ni: 0.0000 0.8205 0.1795  3 Ni 2.29-2.41
Ni: 0.1809 0.1249 0.5133  4 Ni 2.41-2.58, 3 Sn 2.59-2.70
Ni: 0.1809 0.5133 0.1249  4 Ni 2.41-2.58, 3 Sn 2.59-2.70

Record 3
The following is a GGA-PBE calculation of a relaxed structure of DyNi2Sn, from the Alexandria database.

Summary:
The calculation puts the density of states at the Fermi level at 0.96 states/eV per atom. The calculation puts the electronic total energy at -0.1975 Ha/atom. Its magnetization is 0.000 μB/atom. For the energy relative to the elements, the calculation gives -7.637 kcal/mol of atoms.

a = 3.5180 Å, b = 4.4652 Å, c = 4.4652 Å
α = 90.00°, β = 90.00°, γ = 90.00°
With the nearest neighbours (Å) after each atom.
Positions (direct):
Sn: 0.5000 0.0000 0.0000  8 Ni 2.84, 4 Dy 3.16
Dy: 0.5000 0.5000 0.5000  8 Ni 2.84, 4 Sn 3.16
Ni: 0.0000 0.0000 0.5000  4 Dy 2.84, 4 Sn 2.84, 4 Ni 3.16
Ni: 0.0000 0.5000 0.0000  4 Dy 2.84, 4 Sn 2.84, 4 Ni 3.16

Record 4
The following is a GGA-PBE calculation of a relaxed structure of Dy3NiSn2, from the Alexandria database.

Summary:
The calculation puts the density of states at the Fermi level at 0.77 states/eV per atom. The calculation puts the electronic total energy at -0.1937 Ha/atom. Its magnetization is 0.000 μB/atom. For the energy relative to the elements, the calculation gives -15.510 kcal/mol of atoms.

a = 4.3707 Å, b = 11.6581 Å, c = 12.0298 Å
α = 90.00°, β = 90.00°, γ = 90.00°
With the nearest neighbours (Å) after each atom.
Positions (direct):
Ni: 0.2500 0.3662 0.6270  3 Sn 2.67-2.69, 3 Dy 2.89-2.90
Dy: 0.7500 0.5533 0.6208  3 Ni 3.09-3.13, 5 Sn 3.12-3.21
Dy: 0.7500 0.2042 0.2685  2 Ni 2.89, 2 Sn 3.13-3.15
Ni: 0.7500 0.6338 0.3730  3 Sn 2.67-2.69, 3 Dy 2.89-2.90
Sn: 0.2500 0.0030 0.3088  1 Ni 2.67
Dy: 0.7500 0.2958 0.7685  2 Ni 2.89, 2 Sn 3.13-3.15
Sn: 0.2500 0.8112 0.9912  2 Ni 2.69
Sn: 0.7500 0.9970 0.6912  1 Ni 2.67
Ni: 0.7500 0.8662 0.8730  3 Sn 2.67-2.69, 3 Dy 2.89-2.90
Sn: 0.7500 0.1888 0.0088  2 Ni 2.69
Dy: 0.7500 0.6286 0.9450  1 Ni 2.90, 4 Sn 3.10-3.13
Dy: 0.2500 0.7958 0.7315  2 Ni 2.89, 2 Sn 3.13-3.15
Sn: 0.2500 0.4970 0.8088  1 Ni 2.67
Dy: 0.2500 0.4467 0.3792  3 Ni 3.09-3.13, 5 Sn 3.12-3.21
Sn: 0.7500 0.3112 0.5088  2 Ni 2.69
Sn: 0.2500 0.6888 0.4912  2 Ni 2.69
Dy: 0.2500 0.3714 0.0550  1 Ni 2.90, 4 Sn 3.10-3.13
Dy: 0.7500 0.9467 0.1208  3 Ni 3.09-3.13, 5 Sn 3.12-3.21
Sn: 0.7500 0.5030 0.1912  1 Ni 2.67
Dy: 0.7500 0.8714 0.4450  1 Ni 2.90, 4 Sn 3.10-3.13
Dy: 0.2500 0.1286 0.5550  1 Ni 2.90, 4 Sn 3.10-3.13
Dy: 0.2500 0.0533 0.8792  3 Ni 3.09-3.13, 5 Sn 3.12-3.21
Ni: 0.2500 0.1338 0.1270  3 Sn 2.67-2.69, 3 Dy 2.89-2.90
Dy: 0.2500 0.7042 0.2315  2 Ni 2.89, 2 Sn 3.13-3.15

Record 5
The following is a GGA-PBE calculation of a relaxed structure of Dy5Ni2Sn, from the Alexandria database.

Summary:
The calculation puts the density of states at the Fermi level at 1.07 states/eV per atom. The calculation puts the electronic total energy at -0.1939 Ha/atom. Its magnetization is 0.000 μB/atom. For the energy relative to the elements, the calculation gives -10.484 kcal/mol of atoms.

a = 7.6818 Å, b = 7.6818 Å, c = 8.5877 Å
α = 116.57°, β = 116.57°, γ = 90.00°
With the nearest neighbours (Å) after each atom.
Positions (direct):
Ni: 0.1282 0.3718 0.0000  1 Ni 2.78, 8 Dy 2.86-3.02
Dy: 0.0000 0.0000 0.0000  4 Ni 3.02, 2 Sn 3.33
Ni: 0.8718 0.6282 0.0000  1 Ni 2.78, 8 Dy 2.86-3.02
Dy: 0.2952 0.7952 0.2727  3 Ni 2.86-2.94
Dy: 0.9775 0.4775 0.2727  3 Ni 2.86-2.94
Dy: 0.2048 0.0225 0.7273  3 Ni 2.86-2.94
Dy: 0.0225 0.5225 0.7273  3 Ni 2.86-2.94
Ni: 0.6282 0.1282 0.0000  1 Ni 2.78, 8 Dy 2.86-3.02
Ni: 0.3718 0.8718 0.0000  1 Ni 2.78, 8 Dy 2.86-3.02
Dy: 0.7952 0.9775 0.2727  3 Ni 2.86-2.94
Dy: 0.5000 0.5000 0.0000  4 Ni 3.02, 2 Sn 3.33
Dy: 0.5225 0.7048 0.7273  3 Ni 2.86-2.94
Dy: 0.4775 0.2952 0.2727  3 Ni 2.86-2.94
Sn: 0.2500 0.2500 0.5000  10 Dy 3.26-3.33
Dy: 0.7048 0.2048 0.7273  3 Ni 2.86-2.94
Sn: 0.7500 0.7500 0.5000  10 Dy 3.26-3.33

Record 6
The following is a GGA-PBE calculation of a relaxed structure of Dy4Ni12Sn25, from the Alexandria database.

Summary:
The calculation puts the density of states at the Fermi level at 0.36 states/eV per atom. The calculation puts the electronic total energy at -0.1806 Ha/atom. Its magnetization is 0.000 μB/atom. For the energy relative to the elements, the calculation gives -7.640 kcal/mol of atoms.

a = 10.3593 Å, b = 10.3593 Å, c = 10.3593 Å
α = 109.47°, β = 109.47°, γ = 109.47°
With the nearest neighbours (Å) after each atom.
Positions (direct):
Sn: 0.6277 0.2574 0.6298  3 Ni 2.56-2.69
Sn: 0.2482 0.8733 0.1215  3 Ni 2.53-2.61
Ni: 0.8423 0.1623 0.6800  6 Sn 2.53-2.69
Sn: 0.6298 0.6277 0.2574  3 Ni 2.56-2.69
Sn: 0.3702 0.3723 0.7426  3 Ni 2.56-2.69
Sn: 0.1267 0.3750 0.2482  3 Ni 2.53-2.61
Sn: 0.1267 0.8785 0.7518  3 Ni 2.53-2.61
Sn: 0.6250 0.7518 0.8733  3 Ni 2.53-2.61
Sn: 0.8785 0.7518 0.1267  3 Ni 2.53-2.61
Ni: 0.4823 0.1623 0.3200  6 Sn 2.53-2.69
Ni: 0.6800 0.8423 0.1623  6 Sn 2.53-2.69
Sn: 0.3702 0.6277 0.9979  3 Ni 2.56-2.69
Sn: 0.0021 0.6298 0.3723  3 Ni 2.56-2.69
Sn: 0.3723 0.0021 0.6298  3 Ni 2.56-2.69
Sn: 0.3750 0.2482 0.1267  3 Ni 2.53-2.61
Sn: 0.6298 0.3723 0.0021  3 Ni 2.56-2.69
Ni: 0.3200 0.4823 0.1623  6 Sn 2.53-2.69
Ni: 0.6800 0.5177 0.8377  6 Sn 2.53-2.69
Ni: 0.1577 0.8377 0.3200  6 Sn 2.53-2.69
Ni: 0.3200 0.1577 0.8377  6 Sn 2.53-2.69
Ni: 0.8377 0.3200 0.1577  6 Sn 2.53-2.69
Sn: 0.7518 0.8733 0.6250  3 Ni 2.53-2.61
Dy: 0.5000 0.5000 0.5000  6 Ni 3.28, 12 Sn 3.33-3.63
Ni: 0.1623 0.6800 0.8423  6 Sn 2.53-2.69
Sn: 0.3723 0.7426 0.3702  3 Ni 2.56-2.69
Sn: 0.8733 0.6250 0.7518  3 Ni 2.53-2.61
Sn: 0.0000 0.0000 0.0000  12 Sn 3.33
Sn: 0.7426 0.3702 0.3723  3 Ni 2.56-2.69
Sn: 0.6277 0.9979 0.3702  3 Ni 2.56-2.69
Dy: 0.0000 0.0000 0.5000  6 Ni 3.28, 12 Sn 3.33-3.63
Sn: 0.9979 0.3702 0.6277  3 Ni 2.56-2.69
Sn: 0.7518 0.1267 0.8785  3 Ni 2.53-2.61
Ni: 0.8377 0.6800 0.5177  6 Sn 2.53-2.69
Ni: 0.5177 0.8377 0.6800  6 Sn 2.53-2.69
Dy: 0.0000 0.5000 0.0000  6 Ni 3.28, 12 Sn 3.33-3.63
Sn: 0.2574 0.6298 0.6277  3 Ni 2.56-2.69
Sn: 0.2482 0.1267 0.3750  3 Ni 2.53-2.61
Ni: 0.1623 0.3200 0.4823  6 Sn 2.53-2.69
Dy: 0.5000 0.0000 0.0000  6 Ni 3.28, 12 Sn 3.33-3.63
Sn: 0.1215 0.2482 0.8733  3 Ni 2.53-2.61
Sn: 0.8733 0.1215 0.2482  3 Ni 2.53-2.61

Record 7
The following is a GGA-PBE calculation of a relaxed structure of DyNiSn2, from the Alexandria database.

Summary:
The calculation puts the density of states at the Fermi level at 0.83 states/eV per atom. The calculation puts the electronic total energy at -0.1672 Ha/atom. Its magnetization is 0.000 μB/atom. For the energy relative to the elements, the calculation gives 1.091 kcal/mol of atoms.

a = 3.4121 Å, b = 3.4121 Å, c = 10.0452 Å
α = 80.22°, β = 80.22°, γ = 60.00°
With the nearest neighbours (Å) after each atom.
Positions (direct):
Sn: 0.8936 0.8936 0.3192  3 Ni 2.66
Ni: 0.5000 0.5000 0.5000  6 Sn 2.66
Sn: 0.1064 0.1064 0.6808  3 Ni 2.66
Dy: 0.0000 0.0000 0.0000  2 Sn 3.14, 6 Dy 3.41

Record 8
The following is a GGA-PBE calculation of a relaxed structure of DyNi12Sn6, from the Alexandria database.

Summary:
The calculation puts the density of states at the Fermi level at 0.61 states/eV per atom. The calculation puts the electronic total energy at -0.1917 Ha/atom. Its magnetization is 0.000 μB/atom. For the energy relative to the elements, the calculation gives -1.339 kcal/mol of atoms.

a = 6.9758 Å, b = 6.9758 Å, c = 6.9758 Å
α = 102.77°, β = 102.77°, γ = 102.77°
With the nearest neighbours (Å) after each atom.
Positions (direct):
Ni: 0.1104 0.5000 0.8896  3 Ni 2.41-2.56, 4 Sn 2.50-2.57
Ni: 0.8926 0.6536 0.6536  4 Ni 2.56-2.61, 3 Sn 2.64-2.74, 1 Dy 2.84
Dy: 0.0000 0.0000 0.0000  6 Ni 2.84
Sn: 0.7283 0.3092 0.7283  7 Ni 2.50-2.74
Ni: 0.8896 0.5000 0.1104  3 Ni 2.41-2.56, 4 Sn 2.50-2.57
Ni: 0.5000 0.8896 0.1104  3 Ni 2.41-2.56, 4 Sn 2.50-2.57
Sn: 0.7283 0.7283 0.3092  7 Ni 2.50-2.74
Ni: 0.3464 0.3464 0.1074  4 Ni 2.56-2.61, 3 Sn 2.64-2.74, 1 Dy 2.84
Sn: 0.3092 0.7283 0.7283  7 Ni 2.50-2.74
Ni: 0.6536 0.8926 0.6536  4 Ni 2.56-2.61, 3 Sn 2.64-2.74, 1 Dy 2.84
Ni: 0.8896 0.1104 0.5000  3 Ni 2.41-2.56, 4 Sn 2.50-2.57
Sn: 0.6908 0.2717 0.2717  7 Ni 2.50-2.74
Sn: 0.2717 0.6908 0.2717  7 Ni 2.50-2.74
Ni: 0.5000 0.1104 0.8896  3 Ni 2.41-2.56, 4 Sn 2.50-2.57
Ni: 0.1104 0.8896 0.5000  3 Ni 2.41-2.56, 4 Sn 2.50-2.57
Sn: 0.2717 0.2717 0.6908  7 Ni 2.50-2.74
Ni: 0.6536 0.6536 0.8926  4 Ni 2.56-2.61, 3 Sn 2.64-2.74, 1 Dy 2.84
Ni: 0.3464 0.1074 0.3464  4 Ni 2.56-2.61, 3 Sn 2.64-2.74, 1 Dy 2.84
Ni: 0.1074 0.3464 0.3464  4 Ni 2.56-2.61, 3 Sn 2.64-2.74, 1 Dy 2.84

Copy entry 3 word for word.
The following is a GGA-PBE calculation of a relaxed structure of DyNi2Sn, from the Alexandria database.

Summary:
The calculation puts the density of states at the Fermi level at 0.96 states/eV per atom. The calculation puts the electronic total energy at -0.1975 Ha/atom. Its magnetization is 0.000 μB/atom. For the energy relative to the elements, the calculation gives -7.637 kcal/mol of atoms.

a = 3.5180 Å, b = 4.4652 Å, c = 4.4652 Å
α = 90.00°, β = 90.00°, γ = 90.00°
With the nearest neighbours (Å) after each atom.
Positions (direct):
Sn: 0.5000 0.0000 0.0000  8 Ni 2.84, 4 Dy 3.16
Dy: 0.5000 0.5000 0.5000  8 Ni 2.84, 4 Sn 3.16
Ni: 0.0000 0.0000 0.5000  4 Dy 2.84, 4 Sn 2.84, 4 Ni 3.16
Ni: 0.0000 0.5000 0.0000  4 Dy 2.84, 4 Sn 2.84, 4 Ni 3.16